Material: TlCo2O
Method: DFT, PBE+U
State: relaxed

Results
V ... 18.2 Å³/atom
Total moment ... 7.47 μB/cell
Energy above the most stable polymorph in this dataset ... 0.000 eV per atom
Final energy ... -17.7 eV/f.u.
Space-group type ... I4_1/amd

abc: 6.5318 6.5318 6.5318
angles: 133.24 133.24 68.27
With the nearest neighbours (Å) after each atom.
Positions (direct):
1 Tl 0.3750 0.6250 0.7500  8 Co 3.20
2 Tl 0.6250 0.3750 0.2500  8 Co 3.20
3 Co 0.0000 0.0000 0.0000  2 O 1.87
4 Co 0.0000 0.0000 0.5000  2 O 1.87
5 Co 0.0000 0.5000 0.0000  2 O 1.87
6 Co 0.5000 0.0000 0.5000  2 O 1.87
7 O 0.1250 0.8750 0.2500  4 Co 1.87
8 O 0.8750 0.1250 0.7500  4 Co 1.87

Material: TlCo3O
Method: DFT, PBE+U
State: relaxed

Results
V ... 25.1 Å³/atom
Total moment ... 6.74 μB/cell
Energy above the most stable polymorph in this dataset ... 1.496 eV per atom
Final energy ... -13.2 eV/f.u.
Space-group type ... Pm-3m

abc: 5.0067 5.0067 5.0067
angles: 90.00 90.00 90.00
With the nearest neighbours (Å) after each atom.
Positions (direct):
1 Tl 0.0000 0.0000 0.0000  6 Co 2.50
2 Co 0.0000 0.0000 0.5000  2 Tl 2.50
3 Co 0.0000 0.5000 0.0000  2 Tl 2.50
4 Co 0.5000 0.0000 0.0000  2 Tl 2.50
5 O 0.5000 0.5000 0.5000  12 Co 3.54

Material: UTlCo2O8
Method: DFT, PBE+U
State: relaxed

Results
V ... 13.2 Å³/atom
Total moment ... 5.02 μB/cell
Final energy ... -79.8 eV/f.u.
Space-group type ... I-4m2

abc: 5.9143 5.9143 5.9143
angles: 108.00 108.00 112.46
With the nearest neighbours (Å) after each atom.
Positions (direct):
1 U 0.0000 0.0000 0.0000  8 O 2.13-2.33
2 Tl 0.2500 0.7500 0.5000  8 O 2.31-2.48
3 Co 0.5000 0.5000 0.0000  4 O 1.76
4 Co 0.7500 0.2500 0.5000  4 O 1.85
5 O 0.3039 0.1326 0.8287  1 Co 1.76
6 O 0.3039 0.4752 0.1713  1 Co 1.76
7 O 0.3632 0.0626 0.3006  1 Co 1.85
8 O 0.5248 0.6961 0.8287  1 Co 1.76
9 O 0.7620 0.0626 0.6994  1 Co 1.85
10 O 0.8674 0.6961 0.1713  1 Co 1.76
11 O 0.9374 0.2380 0.3006  1 Co 1.85
12 O 0.9374 0.6368 0.6994  1 Co 1.85

Material: UTl3Co2O6
Method: DFT, PBE+U
State: relaxed

Results
V ... 15.7 Å³/atom
Total moment ... 6.07 μB/cell
Final energy ... -76.1 eV/f.u.
Space-group type ... C2/m

abc: 5.5758 5.5758 7.2293
angles: 97.50 97.50 120.01
With the nearest neighbours (Å) after each atom.
Positions (direct):
1 U 0.0000 0.0000 0.0000  6 O 2.12
2 Tl 0.1682 0.8318 0.5000  6 O 3.04-3.05, 6 Tl 3.20-3.25
3 Tl 0.5000 0.5000 0.5000  6 O 3.03-3.08, 6 Tl 3.20-3.23
4 Tl 0.8318 0.1682 0.5000  6 O 3.04-3.05, 6 Tl 3.20-3.25
5 Co 0.3333 0.6667 0.0000  6 O 2.16
6 Co 0.6667 0.3333 0.0000  6 O 2.16
7 O 0.0524 0.3795 0.1543  1 U 2.12, 2 Co 2.16
8 O 0.2746 0.2746 0.8457  1 U 2.12, 2 Co 2.16
9 O 0.3795 0.0524 0.1543  1 U 2.12, 2 Co 2.16
10 O 0.6205 0.9476 0.8457  1 U 2.12, 2 Co 2.16
11 O 0.7254 0.7254 0.1543  1 U 2.12, 2 Co 2.16
12 O 0.9476 0.6205 0.8457  1 U 2.12, 2 Co 2.16

Material: UTlCoO5
Method: DFT, PBE+U
State: relaxed

Results
V ... 17.0 Å³/atom
Total moment ... 7.97 μB/cell
Final energy ... -59.2 eV/f.u.
Space-group type ... C2/c

abc: 6.3081 6.3081 7.9870
angles: 107.20 107.20 103.48
With the nearest neighbours (Å) after each atom.
Positions (direct):
1 U 0.0000 0.5000 0.0000  6 O 2.07-2.12
2 U 0.5000 0.0000 0.5000  6 O 2.07-2.12
3 Tl 0.0834 0.9166 0.7500  5 O 2.66-2.91
4 Tl 0.9166 0.0834 0.2500  5 O 2.66-2.91
5 Co 0.4401 0.5599 0.7500  4 O 1.87-1.89
6 Co 0.5599 0.4401 0.2500  4 O 1.87-1.89
7 O 0.1854 0.8146 0.2500  2 U 2.12
8 O 0.2281 0.3446 0.1168  1 Co 1.89, 1 U 2.07
9 O 0.2387 0.5975 0.8781  1 Co 1.87
10 O 0.3446 0.2281 0.6168  1 Co 1.89, 1 U 2.07
11 O 0.4025 0.7613 0.6219  1 Co 1.87
12 O 0.5975 0.2387 0.3781  1 Co 1.87
13 O 0.6554 0.7719 0.3832  1 Co 1.89, 1 U 2.07
14 O 0.7613 0.4025 0.1219  1 Co 1.87
15 O 0.7719 0.6554 0.8832  1 Co 1.89, 1 U 2.07
16 O 0.8146 0.1854 0.7500  2 U 2.12

Material: UTlCoO6
Method: DFT, PBE+U
State: relaxed

Results
V ... 13.0 Å³/atom
Total moment ... 0.00 μB/cell
Final energy ... -64.2 eV/f.u.
Space-group type ... P312

abc: 5.2364 5.2364 4.9252
angles: 90.00 90.00 120.00
With the nearest neighbours (Å) after each atom.
Positions (direct):
1 U 0.0000 0.0000 0.0000  6 O 2.08
2 Tl 0.3333 0.6667 0.5000  6 O 2.31
3 Co 0.6667 0.3333 0.0000  6 O 1.95
4 O 0.3534 0.0325 0.2227  1 Co 1.95, 1 U 2.08
5 O 0.3534 0.3209 0.7773  1 Co 1.95, 1 U 2.08
6 O 0.6791 0.0325 0.7773  1 Co 1.95, 1 U 2.08
7 O 0.6791 0.6466 0.2227  1 Co 1.95, 1 U 2.08
8 O 0.9675 0.3209 0.2227  1 Co 1.95, 1 U 2.08
9 O 0.9675 0.6466 0.7773  1 Co 1.95, 1 U 2.08

Material: Tl2VCoO4
Method: DFT, PBE+U
State: relaxed

Results
V ... 18.4 Å³/atom
Total moment ... 4.00 μB/cell
Final energy ... -46.0 eV/f.u.
Space-group type ... Fddd

abc: 11.5560 10.2413 6.4224
angles: 84.51 61.90 33.59
With the nearest neighbours (Å) after each atom.
Positions (direct):
1 Tl 0.0433 0.0433 0.7067  6 O 2.94-3.25
2 Tl 0.2933 0.2933 0.9567  6 O 2.94-3.25
3 Tl 0.7067 0.7067 0.0433  6 O 2.94-3.25
4 Tl 0.9567 0.9567 0.2933  6 O 2.94-3.25
5 V 0.3750 0.3750 0.3750  4 O 1.78
6 V 0.6250 0.6250 0.6250  4 O 1.78
7 Co 0.1250 0.1250 0.1250  4 O 2.01
8 Co 0.8750 0.8750 0.8750  4 O 2.01
9 O 0.0236 0.6275 0.5541  1 V 1.78
10 O 0.2949 0.5541 0.6275  1 V 1.78
11 O 0.3725 0.9764 0.7051  1 V 1.78
12 O 0.4459 0.7051 0.9764  1 V 1.78
13 O 0.5541 0.2949 0.0236  1 V 1.78
14 O 0.6275 0.0236 0.2949  1 V 1.78
15 O 0.7051 0.4459 0.3725  1 V 1.78
16 O 0.9764 0.3725 0.4459  1 V 1.78

Material: Tl3V2CoO8
Method: DFT, PBE+U
State: relaxed

Results
V ... 15.7 Å³/atom
Total moment ... 0.00 μB/cell
Final energy ... -85.1 eV/f.u.
Space-group type ... P-3m1

abc: 5.6596 5.6596 7.9234
angles: 90.00 90.00 120.00
With the nearest neighbours (Å) after each atom.
Positions (direct):
1 Tl 0.0000 0.0000 0.0000  12 O 3.26-3.33
2 Tl 0.3333 0.6667 0.7494  1 O 2.63
3 Tl 0.6667 0.3333 0.2506  1 O 2.63
4 V 0.3333 0.6667 0.2976  4 O 1.71-1.76
5 V 0.6667 0.3333 0.7024  4 O 1.71-1.76
6 Co 0.0000 0.0000 0.5000  6 O 1.93
7 O 0.1609 0.3217 0.3598  1 V 1.76, 1 Co 1.93
8 O 0.1609 0.8391 0.3598  1 V 1.76, 1 Co 1.93
9 O 0.3217 0.1609 0.6402  1 V 1.76, 1 Co 1.93
10 O 0.3333 0.6667 0.0818  1 V 1.71
11 O 0.6667 0.3333 0.9182  1 V 1.71
12 O 0.6783 0.8391 0.3598  1 V 1.76, 1 Co 1.93
13 O 0.8391 0.1609 0.6402  1 V 1.76, 1 Co 1.93
14 O 0.8391 0.6783 0.6402  1 V 1.76, 1 Co 1.93

Material: Tl2CoW3O12
Method: DFT, PBE+U
State: relaxed

Results
V ... 14.9 Å³/atom
Total moment ... 1.00 μB/cell
Final energy ... -119.0 eV/f.u.
Space-group type ... R-3m

abc: 7.1407 7.1407 7.1407
angles: 61.89 61.89 61.89
With the nearest neighbours (Å) after each atom.
Positions (direct):
1 Tl 0.1403 0.1403 0.1403  9 O 3.10-3.30
2 Tl 0.8597 0.8597 0.8597  9 O 3.10-3.30
3 Co 0.5000 0.5000 0.5000  6 O 1.87
4 W 0.0000 0.5000 0.5000  6 O 1.90-1.96
5 W 0.5000 0.0000 0.5000  6 O 1.90-1.96
6 W 0.5000 0.5000 0.0000  6 O 1.90-1.96
7 O 0.1824 0.1824 0.5562  2 W 1.96
8 O 0.1824 0.5562 0.1824  2 W 1.96
9 O 0.1966 0.5588 0.5588  1 Co 1.87, 1 W 1.90
10 O 0.4412 0.4412 0.8034  1 Co 1.87, 1 W 1.90
11 O 0.4412 0.8034 0.4412  1 Co 1.87, 1 W 1.90
12 O 0.4438 0.8176 0.8176  2 W 1.96
13 O 0.5562 0.1824 0.1824  2 W 1.96
14 O 0.5588 0.1966 0.5588  1 Co 1.87, 1 W 1.90
15 O 0.5588 0.5588 0.1966  1 Co 1.87, 1 W 1.90
16 O 0.8034 0.4412 0.4412  1 Co 1.87, 1 W 1.90
17 O 0.8176 0.4438 0.8176  2 W 1.96
18 O 0.8176 0.8176 0.4438  2 W 1.96

Material: Tl2ZnCoO4
Method: DFT, PBE+U
State: relaxed

Results
V ... 20.3 Å³/atom
Total moment ... 6.06 μB/cell
Final energy ... -36.7 eV/f.u.
Space-group type ... Fddd

abc: 11.6360 10.3860 6.5225
angles: 83.64 62.51 33.85
With the nearest neighbours (Å) after each atom.
Positions (direct):
1 Tl 0.0570 0.0570 0.6930  2 O 2.52
2 Tl 0.3070 0.3070 0.9430  2 O 2.52
3 Tl 0.6930 0.6930 0.0570  2 O 2.52
4 Tl 0.9430 0.9430 0.3070  2 O 2.52
5 Zn 0.1250 0.1250 0.1250  4 O 2.00
6 Zn 0.8750 0.8750 0.8750  4 O 2.00
7 Co 0.3750 0.3750 0.3750  4 O 1.80
8 Co 0.6250 0.6250 0.6250  4 O 1.80
9 O 0.0236 0.6797 0.5185  1 Co 1.80, 1 Zn 2.00
10 O 0.2782 0.5185 0.6797  1 Co 1.80, 1 Zn 2.00
11 O 0.3203 0.9764 0.7218  1 Co 1.80, 1 Zn 2.00
12 O 0.4815 0.7218 0.9764  1 Co 1.80, 1 Zn 2.00
13 O 0.5185 0.2782 0.0236  1 Co 1.80, 1 Zn 2.00
14 O 0.6797 0.0236 0.2782  1 Co 1.80, 1 Zn 2.00
15 O 0.7218 0.4815 0.3203  1 Co 1.80, 1 Zn 2.00
16 O 0.9764 0.3203 0.4815  1 Co 1.80, 1 Zn 2.00

Material: TmCoO2
Method: DFT, PBE+U
State: relaxed

Results
V ... 15.1 Å³/atom
Total moment ... 2.00 μB/cell
Final energy ... -28.9 eV/f.u.
Space-group type ... R-3m

abc: 6.0454 6.0454 6.0454
angles: 33.66 33.66 33.66
With the nearest neighbours (Å) after each atom.
Positions (direct):
1 Tm 0.0000 0.0000 0.0000  6 O 2.26
2 Co 0.5000 0.5000 0.5000  2 O 1.84
3 O 0.3922 0.3922 0.3922  1 Co 1.84
4 O 0.6078 0.6078 0.6078  1 Co 1.84

Material: Tm3Co5O12
Method: DFT, PBE+U
State: relaxed

Results
V ... 11.2 Å³/atom
Total moment ... 47.78 μB/cell
Final energy ... -137.6 eV/f.u.
Space-group type ... Ia-3d

abc: 10.5216 10.5216 10.5216
angles: 109.47 109.47 109.47
With the nearest neighbours (Å) after each atom.
Positions (direct):
1 Tm 0.1250 0.2500 0.3750  8 O 2.30-2.40
2 Tm 0.1250 0.3750 0.7500  8 O 2.30-2.40
3 Tm 0.2500 0.3750 0.1250  8 O 2.30-2.40
4 Tm 0.2500 0.8750 0.6250  8 O 2.30-2.40
5 Tm 0.3750 0.1250 0.2500  8 O 2.30-2.40
6 Tm 0.3750 0.7500 0.1250  8 O 2.30-2.40
7 Tm 0.6250 0.2500 0.8750  8 O 2.30-2.40
8 Tm 0.6250 0.8750 0.7500  8 O 2.30-2.40
9 Tm 0.7500 0.1250 0.3750  8 O 2.30-2.40
10 Tm 0.7500 0.6250 0.8750  8 O 2.30-2.40
11 Tm 0.8750 0.6250 0.2500  8 O 2.30-2.40
12 Tm 0.8750 0.7500 0.6250  8 O 2.30-2.40
13 Co 0.0000 0.0000 0.0000  6 O 1.95
14 Co 0.0000 0.0000 0.5000  6 O 1.95
15 Co 0.0000 0.5000 0.0000  6 O 1.95
16 Co 0.0000 0.5000 0.5000  6 O 1.95
17 Co 0.1250 0.7500 0.8750  4 O 1.86
18 Co 0.1250 0.8750 0.2500  4 O 1.86
19 Co 0.2500 0.1250 0.8750  4 O 1.86
20 Co 0.2500 0.6250 0.3750  4 O 1.86
21 Co 0.3750 0.2500 0.6250  4 O 1.86
22 Co 0.3750 0.6250 0.7500  4 O 1.86
23 Co 0.5000 0.0000 0.0000  6 O 1.95
24 Co 0.5000 0.0000 0.5000  6 O 1.95
25 Co 0.5000 0.5000 0.0000  6 O 1.95
26 Co 0.5000 0.5000 0.5000  6 O 1.95
27 Co 0.6250 0.3750 0.2500  4 O 1.86
28 Co 0.6250 0.7500 0.3750  4 O 1.86
29 Co 0.7500 0.3750 0.6250  4 O 1.86
30 Co 0.7500 0.8750 0.1250  4 O 1.86
31 Co 0.8750 0.1250 0.7500  4 O 1.86
32 Co 0.8750 0.2500 0.1250  4 O 1.86
33 O 0.0303 0.2040 0.1231  2 Co 1.86-1.95
34 O 0.0303 0.3263 0.9072  2 Co 1.86-1.95
35 O 0.0809 0.7040 0.6737  2 Co 1.86-1.95
36 O 0.0809 0.8769 0.4072  2 Co 1.86-1.95
37 O 0.0928 0.6231 0.4191  2 Co 1.86-1.95
38 O 0.0928 0.9697 0.6737  2 Co 1.86-1.95
39 O 0.1231 0.0303 0.2040  2 Co 1.86-1.95
40 O 0.1231 0.5928 0.9191  2 Co 1.86-1.95
41 O 0.1737 0.2040 0.5809  2 Co 1.86-1.95
42 O 0.1737 0.4697 0.5928  2 Co 1.86-1.95
43 O 0.2040 0.1231 0.0303  2 Co 1.86-1.95
44 O 0.2040 0.5809 0.1737  2 Co 1.86-1.95
45 O 0.2960 0.3263 0.9191  2 Co 1.86-1.95
46 O 0.2960 0.4697 0.3769  2 Co 1.86-1.95
47 O 0.3263 0.9072 0.0303  2 Co 1.86-1.95
48 O 0.3263 0.9191 0.2960  2 Co 1.86-1.95
49 O 0.3769 0.2960 0.4697  2 Co 1.86-1.95
50 O 0.3769 0.5809 0.9072  2 Co 1.86-1.95
51 O 0.4072 0.0809 0.8769  2 Co 1.86-1.95
52 O 0.4072 0.8263 0.5303  2 Co 1.86-1.95
53 O 0.4191 0.0928 0.6231  2 Co 1.86-1.95
54 O 0.4191 0.8263 0.7960  2 Co 1.86-1.95
55 O 0.4697 0.3769 0.2960  2 Co 1.86-1.95
56 O 0.4697 0.5928 0.1737  2 Co 1.86-1.95
57 O 0.5303 0.4072 0.8263  2 Co 1.86-1.95
58 O 0.5303 0.6231 0.7040  2 Co 1.86-1.95
59 O 0.5809 0.1737 0.2040  2 Co 1.86-1.95
60 O 0.5809 0.9072 0.3769  2 Co 1.86-1.95
61 O 0.5928 0.1737 0.4697  2 Co 1.86-1.95
62 O 0.5928 0.9191 0.1231  2 Co 1.86-1.95
63 O 0.6231 0.4191 0.0928  2 Co 1.86-1.95
64 O 0.6231 0.7040 0.5303  2 Co 1.86-1.95
65 O 0.6737 0.0809 0.7040  2 Co 1.86-1.95
66 O 0.6737 0.0928 0.9697  2 Co 1.86-1.95
67 O 0.7040 0.5303 0.6231  2 Co 1.86-1.95
68 O 0.7040 0.6737 0.0809  2 Co 1.86-1.95
69 O 0.7960 0.4191 0.8263  2 Co 1.86-1.95
70 O 0.7960 0.8769 0.9697  2 Co 1.86-1.95
71 O 0.8263 0.5303 0.4072  2 Co 1.86-1.95
72 O 0.8263 0.7960 0.4191  2 Co 1.86-1.95
73 O 0.8769 0.4072 0.0809  2 Co 1.86-1.95
74 O 0.8769 0.9697 0.7960  2 Co 1.86-1.95
75 O 0.9072 0.0303 0.3263  2 Co 1.86-1.95
76 O 0.9072 0.3769 0.5809  2 Co 1.86-1.95
77 O 0.9191 0.1231 0.5928  2 Co 1.86-1.95
78 O 0.9191 0.2960 0.3263  2 Co 1.86-1.95
79 O 0.9697 0.6737 0.0928  2 Co 1.86-1.95
80 O 0.9697 0.7960 0.8769  2 Co 1.86-1.95